No. 1
# MnB2PtC, optimized geometry, DFT PBE
# - E_form (eV per formula unit) = 5.2
# - N(E_F) (states/eV/atom) = 0.70
# - E_tot (eV/atom) = -6.517
# - energy above the lowest structure with this stoichiometry (eV/atom) = 0.000
data_MnB2PtC
_cell_length_a 3.6350
_cell_length_b 3.6350
_cell_length_c 3.5931
_cell_angle_alpha 90.00
_cell_angle_beta 90.00
_cell_angle_gamma 90.00
_symmetry_space_group_name_H-M 'P 4/m m m'
_symmetry_Int_Tables_number 123
_symmetry_space_group_name_Hall '-P 4 2'
loop_
_atom_site_label
_atom_site_type_symbol
_atom_site_fract_x
_atom_site_fract_y
_atom_site_fract_z
_atom_site_occupancy
Mn1 Mn 0.0000 0.0000 0.0000 1
B1 B 0.0000 0.5000 0.5000 1
Pt1 Pt 0.5000 0.5000 0.0000 1
C1 C 0.0000 0.0000 0.5000 1

No. 2
# RbNaInGa, optimized geometry, DFT PBE
# - E_form (eV per formula unit) = 0.2
# - N(E_F) (states/eV/atom) = 0.31
# - E_tot (eV/atom) = -1.968
data_RbNaInGa
_cell_length_a 7.7908
_cell_length_b 7.7908
_cell_length_c 7.7908
_cell_angle_alpha 90.00
_cell_angle_beta 90.00
_cell_angle_gamma 90.00
_symmetry_space_group_name_H-M 'F -4 3 m'
_symmetry_Int_Tables_number 216
_symmetry_space_group_name_Hall 'F -4 2 3'
loop_
_atom_site_label
_atom_site_type_symbol
_atom_site_fract_x
_atom_site_fract_y
_atom_site_fract_z
_atom_site_occupancy
Rb1 Rb 0.0000 0.0000 0.0000 1
Na1 Na 0.2500 0.2500 0.7500 1
In1 In 0.0000 0.0000 0.5000 1
Ga1 Ga 0.2500 0.2500 0.2500 1

No. 3
# Mg5ZrHg6, optimized geometry, DFT PBE
# - E_form (eV per formula unit) = -2.6
# - N(E_F) (states/eV/atom) = 0.46
# - E_tot (eV/atom) = -1.742
data_Mg5ZrHg6
_cell_length_a 8.5568
_cell_length_b 14.9345
_cell_length_c 4.8147
_cell_angle_alpha 90.00
_cell_angle_beta 124.19
_cell_angle_gamma 90.00
_symmetry_space_group_name_H-M 'C 1 2/m 1'
_symmetry_Int_Tables_number 12
loop_
_symmetry_equiv_pos_as_xyz
'x,y,z'
'-x,-y,-z'
'-x,y,-z'
'x,-y,z'
'x+1/2,y+1/2,z'
'-x+1/2,-y+1/2,-z'
'-x+1/2,y+1/2,-z'
'x+1/2,-y+1/2,z'
loop_
_atom_site_label
_atom_site_type_symbol
_atom_site_fract_x
_atom_site_fract_y
_atom_site_fract_z
_atom_site_occupancy
Mg1 Mg 0.0000 0.0000 0.0000 1
Mg2 Mg 0.0000 0.1709 0.5000 1
Mg3 Mg 0.0000 0.3337 0.0000 1
Zr1 Zr 0.0000 0.5000 0.5000 1
Hg1 Hg 0.2422 0.0000 0.7436 1
Hg2 Hg 0.2475 0.1669 0.2472 1

What did the third record say?
# Mg5ZrHg6, optimized geometry, DFT PBE
# - E_form (eV per formula unit) = -2.6
# - N(E_F) (states/eV/atom) = 0.46
# - E_tot (eV/atom) = -1.742
data_Mg5ZrHg6
_cell_length_a 8.5568
_cell_length_b 14.9345
_cell_length_c 4.8147
_cell_angle_alpha 90.00
_cell_angle_beta 124.19
_cell_angle_gamma 90.00
_symmetry_space_group_name_H-M 'C 1 2/m 1'
_symmetry_Int_Tables_number 12
loop_
_symmetry_equiv_pos_as_xyz
'x,y,z'
'-x,-y,-z'
'-x,y,-z'
'x,-y,z'
'x+1/2,y+1/2,z'
'-x+1/2,-y+1/2,-z'
'-x+1/2,y+1/2,-z'
'x+1/2,-y+1/2,z'
loop_
_atom_site_label
_atom_site_type_symbol
_atom_site_fract_x
_atom_site_fract_y
_atom_site_fract_z
_atom_site_occupancy
Mg1 Mg 0.0000 0.0000 0.0000 1
Mg2 Mg 0.0000 0.1709 0.5000 1
Mg3 Mg 0.0000 0.3337 0.0000 1
Zr1 Zr 0.0000 0.5000 0.5000 1
Hg1 Hg 0.2422 0.0000 0.7436 1
Hg2 Hg 0.2475 0.1669 0.2472 1

> What is the N(E_F) in the first record?

0.70 states/eV/atom